[1]
## AcThMg (PBE)

Data for a relaxed AcThMg crystal.

a b c (Å): 3.832 3.832 13.859
angles (deg): 90.00 90.00 90.00
Space group I4mm (No. 107)
One atom of each set of equivalent atoms:
Ac (0.000, 0.000, 0.000)
Th (0.000, 0.000, 0.313)
Mg (0.000, 0.000, 0.668)

Results
ΔE_f: 84.3 meV per atom
Calculated total energy: -25.7 eV per cell
Polymorph energy (0 for the lowest one): 0.0000 eV/atom

[2]
## AcTh2Mg (PBE)

Data for a relaxed AcTh2Mg crystal.

a b c (Å): 5.045 5.045 5.202
angles (deg): 90.00 90.00 90.00
Space group P4/mmm (No. 123)
One atom of each set of equivalent atoms:
Ac (0.000, 0.000, 0.000)
Th (0.000, 0.500, 0.500)
Mg (0.500, 0.500, 0.000)

Results
ΔE_f: 135.9 meV per atom
Calculated total energy: -20.0 eV per cell
Polymorph energy (0 for the lowest one): 0.0000 eV/atom

[3]
## Ac2ThMg (PBE)

Data for a relaxed Ac2ThMg crystal.

a b c (Å): 8.377 8.377 8.377
angles (deg): 90.00 90.00 90.00
Space group Fm-3m (No. 225)
One atom of each set of equivalent atoms:
Ac (0.250, 0.250, 0.250)
Th (0.000, 0.000, 0.000)
Mg (0.000, 0.000, 0.500)

Results
ΔE_f: 199.9 meV per atom
Calculated total energy: -65.7 eV per cell
Polymorph energy (0 for the lowest one): 0.1636 eV/atom

[4]
## Ac2ThMg (PBE)

Data for a relaxed Ac2ThMg crystal.

a b c (Å): 5.300 5.300 5.145
angles (deg): 90.00 90.00 90.00
Space group P4/mmm (No. 123)
One atom of each set of equivalent atoms:
Ac (0.000, 0.500, 0.000)
Th (0.000, 0.000, 0.500)
Mg (0.500, 0.500, 0.500)

Results
ΔE_f: 122.4 meV per atom
Calculated total energy: -16.7 eV per cell
Polymorph energy (0 for the lowest one): 0.0860 eV/atom

[5]
## AcThMg17 (PBE)

Data for a relaxed AcThMg17 crystal.

a b c (Å): 10.3332 10.3332 15.2674
angles (deg): 90.00 90.00 120.00
Space group R3m (No. 160, hexagonal axes)
One atom of each set of equivalent atoms:
Ac (0.0000, 0.0000, 0.0000)
Th (0.0000, 0.0000, 0.6631)
Mg (0.0000, 0.0000, 0.2381)
Mg (0.0000, 0.0000, 0.4348)
Mg (0.0015, 0.5007, 0.1826)
Mg (0.0025, 0.5012, 0.8335)
Mg (0.0033, 0.3008, 0.3339)
Mg (0.0158, 0.5079, 0.4860)

Results
ΔE_f: -33.8 meV per atom
Calculated total energy: -117.8 eV per cell

[6]
## Ac4Mg3Tl (PBE)

Data for a relaxed Ac4Mg3Tl crystal.

a b c (Å): 3.876 5.308 13.636
angles (deg): 90.00 90.00 90.00
Space group Pmm2 (No. 25)
One atom of each set of equivalent atoms:
Ac (0.000, 0.000, 0.000)
Ac (0.000, 0.500, 0.324)
Ac (0.500, 0.000, 0.500)
Ac (0.500, 0.500, 0.829)
Mg (0.000, 0.000, 0.725)
Mg (0.000, 0.500, 0.601)
Mg (0.500, 0.500, 0.099)
Tl (0.500, 0.000, 0.229)

Results
ΔE_f: -111.3 meV per atom
Calculated total energy: -24.5 eV per cell
Polymorph energy (0 for the lowest one): 0.0296 eV/atom

[7]
## Ac2Mg2Tl (PBE)

Data for a relaxed Ac2Mg2Tl crystal.

a b c (Å): 12.095 5.362 10.804
angles (deg): 90.00 110.81 90.00
Space group C2/m (No. 12)
One atom of each set of equivalent atoms:
Ac (0.042, 0.000, 0.347)
Ac (0.176, 0.000, 0.073)
Mg (0.010, 0.500, 0.867)
Mg (0.135, 0.500, 0.579)
Tl (0.240, 0.500, 0.316)

Results
ΔE_f: -154.7 meV per atom
Calculated total energy: -58.2 eV per cell

[8]
## Ac3Mg8Tl (PBE)

Data for a relaxed Ac3Mg8Tl crystal.

a b c (Å): 6.2957 6.2957 30.6975
angles (deg): 90.00 90.00 120.00
Space group R3m (No. 160, hexagonal axes)
One atom of each set of equivalent atoms:
Ac (0.0000, 0.0000, 0.0000)
Ac (0.0000, 0.0000, 0.1263)
Ac (0.0000, 0.0000, 0.5070)
Mg (0.0000, 0.0000, 0.3153)
Mg (0.0000, 0.0000, 0.8149)
Mg (0.9998, 0.4999, 0.5654)
Mg (0.0012, 0.5006, 0.0647)
Tl (0.0000, 0.0000, 0.6296)

Results
ΔE_f: -89.4 meV per atom
Calculated total energy: -85.6 eV per cell

[9]
## AcMg3Tl4 (PBE)

Data for a relaxed AcMg3Tl4 crystal.

a b c (Å): 10.437 8.065 5.218
angles (deg): 90.00 90.00 90.00
Space group Pmma (No. 51)
One atom of each set of equivalent atoms:
Ac (0.000, 0.000, 0.000)
Mg (0.000, 0.500, 0.000)
Mg (0.250, 0.000, 0.499)
Mg (0.250, 0.500, 0.496)
Tl (0.000, 0.276, 0.500)
Tl (0.250, 0.276, 0.997)

Results
ΔE_f: -159.9 meV per atom
Calculated total energy: -39.3 eV per cell

[10]
## Ac3Mg6Tl5 (PBE)

Data for a relaxed Ac3Mg6Tl5 crystal.

a b c (Å): 4.883 14.745 11.071
angles (deg): 90.00 90.00 90.00
Space group Pmmn (No. 59, origin choice 2)
One atom of each set of equivalent atoms:
Ac (0.250, 0.064, 0.245)
Ac (0.250, 0.750, 0.254)
Mg (0.250, 0.075, 0.600)
Mg (0.250, 0.250, 0.026)
Mg (0.250, 0.250, 0.450)
Mg (0.250, 0.591, 0.989)
Tl (0.250, 0.092, 0.862)
Tl (0.250, 0.621, 0.530)
Tl (0.250, 0.750, 0.796)

Results
ΔE_f: -255.4 meV per atom
Calculated total energy: -74.6 eV per cell

[11]
## Ac2Mg6Tl3 (PBE)

Data for a relaxed Ac2Mg6Tl3 crystal.

a b c (Å): 8.7009 8.7009 4.7795
angles (deg): 90.00 90.00 120.00
Space group P-62m (No. 189)
One atom of each set of equivalent atoms:
Ac (0.3333, 0.6667, 0.0000)
Mg (0.0000, 0.2724, 0.5000)
Mg (0.0000, 0.8001, 0.0000)
Tl (0.0000, 0.6076, 0.5000)

Results
ΔE_f: -177.4 meV per atom
Calculated total energy: -26.8 eV per cell

[12]
## Ac2Mg2Tl3 (PBE)

Data for a relaxed Ac2Mg2Tl3 crystal.

a b c (Å): 4.940 21.506 8.060
angles (deg): 90.00 90.00 90.00
Space group Cmcm (No. 63)
One atom of each set of equivalent atoms:
Ac (0.000, 0.049, 0.250)
Ac (0.000, 0.154, 0.750)
Mg (0.000, 0.308, 0.560)
Tl (0.000, 0.223, 0.250)
Tl (0.000, 0.435, 0.061)

Results
ΔE_f: -298.1 meV per atom
Calculated total energy: -82.4 eV per cell

- The highest calculated total energy belongs to which entry?
  number 4